SrPm2MnO5: optimized geometry, GGA+U.

Total energy, eV for the cell shown: -135.9
Space-group type: P4/mbm (127)
DOS(E_F), states/eV/cell: 0.00
Spin magnetization, μB per formula unit: 3.00

Cell: 6.7082 6.7082 5.7403 Å, 90.00 90.00 90.00°
Sites, in units of the cell vectors:
1 Sr 0.0000 0.0000 0.0000
2 Sr 0.5000 0.5000 0.0000
3 Pm 0.1734 0.3266 0.5000
4 Pm 0.3266 0.8266 0.5000
5 Pm 0.6734 0.1734 0.5000
6 Pm 0.8266 0.6734 0.5000
7 Mn 0.0000 0.5000 0.0000
8 Mn 0.5000 0.0000 0.0000
9 O 0.0000 0.0000 0.5000
10 O 0.1387 0.6387 0.2417
11 O 0.1387 0.6387 0.7583
12 O 0.3613 0.1387 0.2417
13 O 0.3613 0.1387 0.7583
14 O 0.5000 0.5000 0.5000
15 O 0.6387 0.8613 0.2417
16 O 0.6387 0.8613 0.7583
17 O 0.8613 0.3613 0.2417
18 O 0.8613 0.3613 0.7583